The following is a DFT calculation (PBE+U) of crystalline CoSnSeO at its relaxed geometry.

Properties
VASP energy	-4.29	eV per atom
total magnetization	0.52	μB/atom
crystal system	tetragonal
calculated density	6.13	g cm⁻³

a b c (Å): 4.243 4.243 8.206
angles (deg): 90.00 90.00 90.00
Atoms (fractional coordinates):
Co 0.250 0.250 0.755
Sn 0.250 0.750 0.000
O 0.250 0.250 0.523
O 0.750 0.750 0.477
Co 0.750 0.750 0.245
Sn 0.750 0.250 0.000
Se 0.750 0.750 0.685
Se 0.250 0.250 0.315